DFT (PBE-GGA) results for an optimized crystal structure of BaAsO4.

Unit cell a=7.0123 b=7.0123 c=5.1804 alpha=110.80 beta=110.80 gamma=43.63
Fractional positions:
Ba 0.2372 0.7628 0.7500
Ba 0.7628 0.2372 0.2500
As 0.0000 0.5000 0.0000
As 0.5000 0.0000 0.5000
O 0.1577 0.2806 0.2825
O 0.2004 0.5901 0.1552
O 0.2806 0.1577 0.7825
O 0.4099 0.7996 0.3448
O 0.5901 0.2004 0.6552
O 0.7194 0.8423 0.2175
O 0.7996 0.4099 0.8448
O 0.8423 0.7194 0.7175

formation energy from raw total energies = -146 kJ per mole of atoms
E = -5.92 eV per atom
magnetic moment = 2.0 Bohr magnetons per cell
space-group type = No. 15